1.
Ta2SbMo: relaxed, PBEsol.

Summary:
**ΔE_f (raw)**: 0.0618 eV/atom

a b c (Å): 3.5968 4.3814 4.4393
angles (deg): 90.00 90.00 90.00
Closest atoms and distances in Å follow each position.
Positions (direct):
Mo 0.5000 0.0000 0.5000  4 Sb 2.83, 8 Ta 2.86-3.12
Sb 0.0000 0.5000 0.5000  4 Mo 2.83, 8 Ta 2.86-3.12
Ta 0.0000 0.0000 0.0000  4 Ta 2.83, 4 Mo 2.86, 4 Sb 3.12
Ta 0.5000 0.5000 0.0000  4 Ta 2.83, 4 Sb 2.86, 4 Mo 3.12

---

2.
BaSc2Ni: relaxed, PBEsol.

Summary:
**Energy relative to the elements**: 0.0341 eV per atom
**Offset from the most stable computed form**: 75 meV/atom

a b c (Å): 3.5507 3.5507 8.1225
angles (deg): 90.00 90.00 90.00
Closest atoms and distances in Å follow each position.
Positions (direct):
Ba 0.0000 0.0000 0.5382  1 Sc 3.21, 4 Ba 3.55, 4 Ni 3.59
Ni 0.5000 0.5000 0.8541  5 Sc 2.59-2.60
Sc 0.0000 0.0000 0.9330  4 Ni 2.59
Sc 0.5000 0.5000 0.1747  1 Ni 2.60

---

3.
FeAgC2: relaxed, PBEsol.

Summary:
**Energy relative to the elements**: 1.1146 eV per atom

a b c (Å): 4.6043 4.6043 5.4746
angles (deg): 114.87 114.87 90.00
Closest atoms and distances in Å follow each position.
Positions (direct):
C 0.4524 0.8750 0.2500  2 Fe 1.78
C 0.7976 0.3750 0.2500  2 Fe 1.78
C 0.1250 0.2024 0.7500  2 Fe 1.78
C 0.6250 0.5476 0.7500  2 Fe 1.78
Fe 0.7500 0.2500 0.5000  4 C 1.78
Fe 0.5000 0.5000 0.0000  4 C 1.78
Ag 0.2500 0.7500 0.5000  4 C 2.19
Ag 0.0000 0.0000 0.0000  4 C 2.19